Entry 1:
InGe2Se2 | PBE-GGA | optimized geometry

Summary:
Polymorph energy (0 for the lowest one) (eV per formula unit): 0.00
Crystal system: monoclinic
Formation energy without anion corrections (meV/atom): -159
Density of states at the Fermi level (states/eV per cell): 1.31
Space group: C2/m, No. 12

Unit cell a=3.690 b=4.497 c=9.694 alpha=65.62 beta=90.00 gamma=114.22
Positions (direct):
In: 0.000 0.000 0.000
Ge: 0.901 0.802 0.428
Ge: 0.099 0.198 0.572
Se: 0.574 0.147 0.235
Se: 0.426 0.853 0.765



Entry 2:
InGeSe2 | PBE-GGA | optimized geometry

Summary:
Crystal system: trigonal
Formation energy without anion corrections (meV/atom): -246
Density of states at the Fermi level (states/eV per cell): 2.07
Space group: R3m, No. 160

Unit cell a=3.981 b=3.981 c=7.491 alpha=74.59 beta=74.59 gamma=60.00
Positions (direct):
In: 0.499 0.499 0.504
Ge: 0.668 0.668 0.996
Se: 0.076 0.076 0.771
Se: 0.257 0.257 0.228



Entry 3:
InGeSe3 | PBE-GGA | optimized geometry

Summary:
Crystal system: monoclinic
Formation energy without anion corrections (meV/atom): -262
Density of states at the Fermi level (states/eV per cell): 2.80
Space group: C2/m, No. 12

Unit cell a=3.878 b=7.014 c=13.118 alpha=111.47 beta=90.00 gamma=106.05
Positions (direct):
In: 0.638 0.275 0.898
In: 0.362 0.725 0.102
Ge: 0.860 0.720 0.724
Ge: 0.140 0.280 0.276
Se: 0.278 0.556 0.603
Se: 0.722 0.444 0.397
Se: 0.850 0.700 0.943
Se: 0.150 0.300 0.057
Se: 0.054 0.108 0.744
Se: 0.946 0.892 0.256



Entry 4:
In3Ge5Se12 | PBE-GGA | optimized geometry

Summary:
Crystal system: cubic
Formation energy without anion corrections (meV/atom): -154
Density of states at the Fermi level (states/eV per cell): 49.01
Space group: Ia-3d, No. 230

Unit cell a=14.009 b=14.009 c=14.009 alpha=109.47 beta=109.47 gamma=109.47
Positions (direct):
In: 0.750 0.375 0.125
In: 0.875 0.750 0.125
In: 0.375 0.750 0.625
In: 0.250 0.125 0.375
In: 0.875 0.125 0.250
In: 0.375 0.625 0.250
In: 0.625 0.375 0.750
In: 0.125 0.875 0.750
In: 0.750 0.875 0.625
In: 0.625 0.250 0.375
In: 0.125 0.250 0.875
In: 0.250 0.625 0.875
Ge: 0.125 0.375 0.250
Ge: 0.000 0.500 0.000
Ge: 0.000 0.000 0.000
Ge: 0.375 0.250 0.125
Ge: 0.500 0.000 0.500
Ge: 0.500 0.500 0.000
Ge: 0.125 0.750 0.375
Ge: 0.750 0.125 0.875
Ge: 0.750 0.625 0.375
Ge: 0.375 0.125 0.750
Ge: 0.625 0.875 0.250
Ge: 0.500 0.500 0.500
Ge: 0.500 0.000 0.000
Ge: 0.000 0.000 0.500
Ge: 0.250 0.375 0.625
Ge: 0.250 0.875 0.125
Ge: 0.000 0.500 0.500
Ge: 0.875 0.250 0.625
Ge: 0.625 0.750 0.875
Ge: 0.875 0.625 0.750
Se: 0.716 0.127 0.034
Se: 0.318 0.534 0.407
Se: 0.966 0.373 0.284
Se: 0.534 0.216 0.127
Se: 0.590 0.716 0.682
Se: 0.966 0.593 0.182
Se: 0.318 0.784 0.410
Se: 0.093 0.910 0.127
Se: 0.593 0.966 0.682
Se: 0.716 0.590 0.182
Se: 0.784 0.466 0.373
Se: 0.818 0.907 0.034
Se: 0.127 0.716 0.534
Se: 0.373 0.407 0.090
Se: 0.090 0.907 0.373
Se: 0.410 0.127 0.593
Se: 0.090 0.182 0.216
Se: 0.466 0.682 0.093
Se: 0.818 0.910 0.284
Se: 0.127 0.410 0.093
Se: 0.373 0.966 0.784
Se: 0.593 0.627 0.410
Se: 0.907 0.818 0.534
Se: 0.784 0.318 0.910
Se: 0.407 0.373 0.590
Se: 0.093 0.182 0.466
Se: 0.216 0.682 0.090
Se: 0.182 0.090 0.716
Se: 0.627 0.034 0.216
Se: 0.873 0.590 0.907
Se: 0.534 0.318 0.907
Se: 0.590 0.873 0.407
Se: 0.910 0.818 0.784
Se: 0.910 0.093 0.627
Se: 0.873 0.284 0.466
Se: 0.182 0.093 0.966
Se: 0.627 0.593 0.910
Se: 0.407 0.034 0.318
Se: 0.284 0.410 0.818
Se: 0.216 0.534 0.627
Se: 0.907 0.090 0.873
Se: 0.682 0.216 0.590
Se: 0.466 0.784 0.873
Se: 0.034 0.407 0.818
Se: 0.410 0.284 0.318
Se: 0.034 0.627 0.716
Se: 0.682 0.466 0.593
Se: 0.284 0.873 0.966



Entry 5:
InGe2Se2 | PBE-GGA | optimized geometry

Summary:
Polymorph energy (0 for the lowest one) (eV per formula unit): 0.71
Crystal system: tetragonal
Formation energy without anion corrections (meV/atom): -18
Density of states at the Fermi level (states/eV per cell): 2.82
Space group: P4/mbm, No. 127

Unit cell a=8.203 b=8.203 c=3.764 alpha=90.00 beta=90.00 gamma=90.00
Positions (direct):
Ge: 0.322 0.822 0.000
Ge: 0.822 0.678 0.000
Ge: 0.678 0.178 0.000
Ge: 0.178 0.322 0.000
Se: 0.173 0.673 0.500
Se: 0.673 0.827 0.500
Se: 0.827 0.327 0.500
Se: 0.327 0.173 0.500
In: 0.000 0.000 0.000
In: 0.500 0.500 0.000



Entry 6:
InGe2Se | PBE-GGA | optimized geometry

Summary:
Polymorph energy (0 for the lowest one) (eV per formula unit): 0.36
Crystal system: cubic
Formation energy without anion corrections (meV/atom): 264
Density of states at the Fermi level (states/eV per cell): 1.72
Space group: Fm-3m, No. 225

Unit cell a=4.963 b=4.963 c=4.963 alpha=60.00 beta=60.00 gamma=60.00
Positions (direct):
Ge: 0.250 0.250 0.250
Ge: 0.750 0.750 0.750
Se: 0.000 0.000 0.000
In: 0.500 0.500 0.500



The highest formation energy without anion corrections belongs to which entry? InGe2Se